## Re2Tc2Ag (PBE-GGA)

Data for a geometry-optimized Re2Tc2Ag structure.

DFT total energy ... -0.345 hartree per atom
Calculated volume ... 16.204 Å³ per atom
SG ... P4/mbm, No. 127
Formation enthalpy at 0 K ... 0.31 eV/atom
Relative energy among the computed polymorphs ... 0.0 kJ/mol of formula units

POSCAR file:
```
Re2Tc2Ag
1.0
7.641 0.000 0.000
0.000 7.641 0.000
0.000 0.000 2.776
Re Ag Tc
4 2 4
Cartesian
0.984 2.836 0.000
6.656 4.805 0.000
4.805 0.984 0.000
2.836 6.656 0.000
3.820 3.820 0.000
0.000 0.000 0.000
2.581 1.239 1.388
1.239 5.060 1.388
6.401 2.581 1.388
5.060 6.401 1.388
```

## ReTcAg2 (PBE-GGA)

Data for a geometry-optimized ReTcAg2 structure.

DFT total energy ... -0.237 hartree per atom
Calculated volume ... 16.142 Å³ per atom
SG ... Immm, No. 71
Formation enthalpy at 0 K ... 0.67 eV/atom
Relative energy among the computed polymorphs ... 177.5 kJ/mol of formula units

POSCAR file:
```
ReTcAg2
1.0
5.522 -0.017 -0.006
2.999 4.636 0.006
-3.868 -3.033 2.515
Re Tc Ag
1 1 2
Cartesian
2.957 -0.370 1.255
1.696 1.956 1.261
4.275 2.317 0.000
8.507 4.611 0.000
```

## ReTc2Ag (PBE-GGA)

Data for a geometry-optimized ReTc2Ag structure.

DFT total energy ... -0.316 hartree per atom
Calculated volume ... 15.642 Å³ per atom
SG ... Cmm2, No. 35
Formation enthalpy at 0 K ... 0.42 eV/atom
Relative energy among the computed polymorphs ... 73.0 kJ/mol of formula units

POSCAR file:
```
ReTc2Ag
1.0
-2.612 -0.519 0.351
1.133 -1.318 -2.048
2.215 -7.189 5.850
Tc Ag Re
2 1 1
Cartesian
-0.222 -2.598 0.518
0.002 -0.005 0.004
1.106 -3.587 2.919
0.959 -6.429 3.636
```

- Among the records above, which one has the highest formation enthalpy at 0 K?
  ReTcAg2

Copy entry 1 word for word.
## Re2Tc2Ag (PBE-GGA)

Data for a geometry-optimized Re2Tc2Ag structure.

DFT total energy ... -0.345 hartree per atom
Calculated volume ... 16.204 Å³ per atom
SG ... P4/mbm, No. 127
Formation enthalpy at 0 K ... 0.31 eV/atom
Relative energy among the computed polymorphs ... 0.0 kJ/mol of formula units

POSCAR file:
```
Re2Tc2Ag
1.0
7.641 0.000 0.000
0.000 7.641 0.000
0.000 0.000 2.776
Re Ag Tc
4 2 4
Cartesian
0.984 2.836 0.000
6.656 4.805 0.000
4.805 0.984 0.000
2.836 6.656 0.000
3.820 3.820 0.000
0.000 0.000 0.000
2.581 1.239 1.388
1.239 5.060 1.388
6.401 2.581 1.388
5.060 6.401 1.388
```

- Which of these has the highest relative energy among the computed polymorphs?
  ReTcAg2

- DFT total energy of number 2 (ReTcAg2)?
  -0.237 hartree per atom